[1]
Entry from Alexandria: an optimized crystal structure of CdFeSb2 (GGA-PBEsol).

Lattice parameters (Å, degrees): 3.759 4.693 4.693 90.00 90.00 90.00
Fractional coordinates of all 4 atoms:
Cd: 0.500 0.500 0.500
Fe: 0.500 0.000 0.000
Sb: 0.000 0.000 0.500
Sb: 0.000 0.500 0.000

Results
- SG: P4/mmm
- Final energy: -4.349 eV/atom
- Spin magnetization: 2.6 μB/cell
- V: 83 Å³ per cell
- Energy relative to the elements, uncorrected: 45.4 kJ/mol of atoms

=====

[2]
Entry from Alexandria: an optimized crystal structure of Cd3FeSb (GGA-PBEsol).

Lattice parameters (Å, degrees): 5.459 5.459 5.459 90.00 90.00 90.00
Fractional coordinates of all 5 atoms:
Sb: 0.000 0.000 0.000
Fe: 0.500 0.500 0.500
Cd: 0.000 0.500 0.000
Cd: 0.000 0.000 0.500
Cd: 0.500 0.000 0.000

Results
- SG: Pm-3m
- Final energy: -2.196 eV/atom
- Spin magnetization: 3.4 μB/cell
- V: 163 Å³ per cell
- Energy relative to the elements, uncorrected: 118.4 kJ/mol of atoms

=====

[3]
Entry from Alexandria: an optimized crystal structure of Sc2CdFe (GGA-PBEsol).

Lattice parameters (Å, degrees): 3.126 3.126 7.267 90.00 90.00 90.00
Fractional coordinates of all 4 atoms:
Sc: 0.000 0.000 0.702
Sc: 0.000 0.000 0.298
Fe: 0.500 0.500 0.500
Cd: 0.500 0.500 0.000

Results
- SG: P4/mmm
- Final energy: -6.107 eV/atom
- Spin magnetization: 0.0 μB/cell
- Energy relative to the elements: -0.264 eV per atom
- V: 71 Å³ per cell

=====

[4]
Entry from Alexandria: an optimized crystal structure of ScCdFe (GGA-PBEsol).

Lattice parameters (Å, degrees): 4.469 4.469 4.469 60.00 60.00 60.00
Fractional coordinates of all 3 atoms:
Cd: 0.000 0.000 0.000
Fe: 0.500 0.500 0.500
Sc: 0.250 0.250 0.250

Results
- SG: F-43m
- Final energy: -4.766 eV/atom
- Spin magnetization: 1.7 μB/cell
- Energy relative to the elements: 0.822 eV per atom
- V: 63 Å³ per cell

=====

[5]
Entry from Alexandria: an optimized crystal structure of CdFeSe2 (GGA-PBEsol).

Lattice parameters (Å, degrees): 3.035 3.035 9.408 80.72 80.72 60.00
Fractional coordinates of all 4 atoms:
Cd: 0.513 0.513 0.462
Fe: 0.256 0.256 0.233
Se: 0.974 0.974 0.078
Se: 0.757 0.757 0.728

Results
- SG: R3m
- Final energy: -4.448 eV/atom
- Spin magnetization: 0.7 μB/cell
- V: 74 Å³ per cell
- Energy relative to the elements, uncorrected: 1.7 kJ/mol of atoms

=====

[6]
Entry from Alexandria: an optimized crystal structure of CdFeSe2 (GGA-PBEsol).

Lattice parameters (Å, degrees): 3.657 3.657 6.949 105.26 105.26 90.00
Fractional coordinates of all 4 atoms:
Cd: 0.500 0.500 0.000
Fe: 0.250 0.750 0.500
Se: 0.000 0.000 0.000
Se: 0.750 0.250 0.500

Results
- SG: I-4m2
- Final energy: -4.211 eV/atom
- Spin magnetization: 3.7 μB/cell
- V: 86 Å³ per cell
- Energy relative to the elements, uncorrected: 24.5 kJ/mol of atoms

=====

[7]
Entry from Alexandria: an optimized crystal structure of Cd2FeSe (GGA-PBEsol).

Lattice parameters (Å, degrees): 3.033 4.550 5.373 90.00 90.00 91.39
Fractional coordinates of all 4 atoms:
Cd: 0.251 0.246 0.000
Cd: 0.749 0.754 0.000
Fe: 0.000 0.000 0.500
Se: 0.500 0.500 0.500

Results
- SG: P2/m
- Final energy: -3.438 eV/atom
- Spin magnetization: 2.7 μB/cell
- V: 74 Å³ per cell
- Energy relative to the elements, uncorrected: 35.1 kJ/mol of atoms

=====

[8]
Entry from Alexandria: an optimized crystal structure of CdFeSe2 (GGA-PBEsol).

Lattice parameters (Å, degrees): 3.358 4.668 4.668 90.37 90.00 90.00
Fractional coordinates of all 4 atoms:
Cd: 0.500 0.000 0.000
Fe: 0.500 0.500 0.500
Se: 0.000 0.500 0.000
Se: 0.000 0.000 0.500

Results
- SG: Cmmm
- Final energy: -4.161 eV/atom
- Spin magnetization: 3.1 μB/cell
- V: 73 Å³ per cell
- Energy relative to the elements, uncorrected: 29.3 kJ/mol of atoms

=====

[9]
Entry from Alexandria: an optimized crystal structure of CdFeSe2 (GGA-PBEsol).

Lattice parameters (Å, degrees): 3.251 3.251 8.949 79.54 79.54 60.00
Fractional coordinates of all 4 atoms:
Fe: 0.500 0.500 0.500
Se: 0.888 0.888 0.337
Se: 0.112 0.112 0.663
Cd: 0.000 0.000 0.000

Results
- SG: R-3m
- Final energy: -4.631 eV/atom
- Spin magnetization: 1.5 μB/cell
- V: 80 Å³ per cell
- Energy relative to the elements, uncorrected: -16.0 kJ/mol of atoms

=====

[10]
Entry from Alexandria: an optimized crystal structure of CdFe3Se (GGA-PBEsol).

Lattice parameters (Å, degrees): 4.315 4.315 4.315 90.00 90.00 90.00
Fractional coordinates of all 5 atoms:
Fe: 0.000 0.500 0.000
Fe: 0.000 0.000 0.500
Fe: 0.500 0.000 0.000
Se: 0.000 0.000 0.000
Cd: 0.500 0.500 0.500

Results
- SG: Pm-3m
- Final energy: -5.798 eV/atom
- Spin magnetization: 6.0 μB/cell
- V: 80 Å³ per cell
- Energy relative to the elements, uncorrected: 56.9 kJ/mol of atoms

=====

[11]
Entry from Alexandria: an optimized crystal structure of Cd2FeSe (GGA-PBEsol).

Lattice parameters (Å, degrees): 2.922 4.556 6.335 111.07 103.33 90.00
Fractional coordinates of all 4 atoms:
Cd: 0.012 0.012 0.025
Cd: 0.182 0.682 0.363
Fe: 0.480 0.480 0.960
Se: 0.826 0.326 0.652

Results
- SG: Imm2
- Final energy: -3.750 eV/atom
- Spin magnetization: 1.6 μB/cell
- V: 76 Å³ per cell
- Energy relative to the elements, uncorrected: 5.0 kJ/mol of atoms

=====

[12]
Entry from Alexandria: an optimized crystal structure of CdFeSe (GGA-PBEsol).

Lattice parameters (Å, degrees): 4.241 4.241 4.241 60.00 60.00 60.00
Fractional coordinates of all 3 atoms:
Cd: 0.500 0.500 0.500
Fe: 0.250 0.250 0.250
Se: 0.000 0.000 0.000

Results
- SG: F-43m
- Final energy: -4.401 eV/atom
- Spin magnetization: 2.1 μB/cell
- V: 54 Å³ per cell
- Energy relative to the elements, uncorrected: 26.0 kJ/mol of atoms

=====

[13]
Entry from Alexandria: an optimized crystal structure of Cd2FeSi (GGA-PBEsol).

Lattice parameters (Å, degrees): 3.943 3.943 4.978 113.33 113.33 90.00
Fractional coordinates of all 4 atoms:
Cd: 0.000 0.000 0.000
Cd: 0.750 0.250 0.500
Fe: 0.500 0.500 0.000
Si: 0.250 0.750 0.500

Results
- SG: I-4m2
- Final energy: -3.924 eV/atom
- Spin magnetization: 2.1 μB/cell
- V: 64 Å³ per cell
- Energy relative to the elements, uncorrected: 34.0 kJ/mol of atoms

=====

[14]
Entry from Alexandria: an optimized crystal structure of CdFeSi (GGA-PBEsol).

Lattice parameters (Å, degrees): 3.311 3.903 3.903 120.00 90.00 90.00
Fractional coordinates of all 3 atoms:
Cd: 0.000 0.000 0.000
Fe: 0.500 0.333 0.667
Si: 0.500 0.667 0.333

Results
- SG: P-6m2
- Final energy: -5.159 eV/atom
- Relative energy among the computed polymorphs: 12.2 kJ per mole of atoms
- Spin magnetization: 0.0 μB/cell
- V: 44 Å³ per cell
- Energy relative to the elements, uncorrected: 13.9 kJ/mol of atoms

=====

[15]
Entry from Alexandria: an optimized crystal structure of Cd2FeSi (GGA-PBEsol).

Lattice parameters (Å, degrees): 3.852 3.852 5.137 112.02 112.02 90.00
Fractional coordinates of all 4 atoms:
Cd: 0.750 0.250 0.500
Cd: 0.250 0.750 0.500
Fe: 0.500 0.500 0.000
Si: 0.000 0.000 0.000

Results
- SG: I4/mmm
- Final energy: -3.907 eV/atom
- Spin magnetization: 2.1 μB/cell
- V: 65 Å³ per cell
- Energy relative to the elements, uncorrected: 35.6 kJ/mol of atoms

=====

[16]
Entry from Alexandria: an optimized crystal structure of CdFeSi (GGA-PBEsol).

Lattice parameters (Å, degrees): 2.936 2.936 5.325 106.00 106.00 90.00
Fractional coordinates of all 3 atoms:
Cd: 0.005 0.005 0.009
Fe: 0.700 0.700 0.400
Si: 0.296 0.296 0.591

Results
- SG: I4mm
- Final energy: -5.285 eV/atom
- Relative energy among the computed polymorphs: 0.0 kJ per mole of atoms
- Spin magnetization: 0.0 μB/cell
- V: 42 Å³ per cell
- Energy relative to the elements, uncorrected: 1.7 kJ/mol of atoms

=====

[17]
Entry from Alexandria: an optimized crystal structure of CdFe3Sn (GGA-PBEsol).

Lattice parameters (Å, degrees): 4.675 4.675 4.675 90.00 90.00 90.00
Fractional coordinates of all 5 atoms:
Fe: 0.000 0.500 0.000
Fe: 0.000 0.000 0.500
Fe: 0.500 0.000 0.000
Sn: 0.500 0.500 0.500
Cd: 0.000 0.000 0.000

Results
- SG: Pm-3m
- Final energy: -4.956 eV/atom
- Spin magnetization: 8.6 μB/cell
- Energy relative to the elements: 1.513 eV per atom
- V: 102 Å³ per cell

=====

[18]
Entry from Alexandria: an optimized crystal structure of CdFeSn3 (GGA-PBEsol).

Lattice parameters (Å, degrees): 4.889 4.889 4.889 90.00 90.00 90.00
Fractional coordinates of all 5 atoms:
Fe: 0.000 0.000 0.000
Sn: 0.000 0.500 0.000
Sn: 0.000 0.000 0.500
Sn: 0.500 0.000 0.000
Cd: 0.500 0.500 0.500

Results
- SG: Pm-3m
- Final energy: -4.432 eV/atom
- Spin magnetization: 0.0 μB/cell
- Energy relative to the elements: 0.155 eV per atom
- V: 117 Å³ per cell

=====

[19]
Entry from Alexandria: an optimized crystal structure of SrCd2Fe (GGA-PBEsol).

Lattice parameters (Å, degrees): 5.028 5.028 5.028 60.00 60.00 60.00
Fractional coordinates of all 4 atoms:
Cd: 0.250 0.250 0.250
Cd: 0.750 0.750 0.750
Fe: 0.000 0.000 0.000
Sr: 0.500 0.500 0.500

Results
- SG: Fm-3m
- Final energy: -2.949 eV/atom
- Spin magnetization: 2.8 μB/cell
- Energy relative to the elements: 0.350 eV per atom
- V: 90 Å³ per cell

=====

[20]
Entry from Alexandria: an optimized crystal structure of SrCd2Fe (GGA-PBEsol).

Lattice parameters (Å, degrees): 3.438 3.438 7.564 90.00 90.00 90.00
Fractional coordinates of all 4 atoms:
Cd: 0.000 0.000 0.048
Cd: 0.500 0.500 0.283
Fe: 0.000 0.000 0.442
Sr: 0.500 0.500 0.726

Results
- SG: P4mm
- Final energy: -2.995 eV/atom
- Spin magnetization: 2.4 μB/cell
- Energy relative to the elements: 0.305 eV per atom
- V: 89 Å³ per cell